[1]
Computed, not measured: PmNd2Tl3Se6 after structural relaxation at the PBE level of DFT.

## Properties
Total energy   -4.905 eV/atom
Energy relative to the elements, uncorrected   -1381 meV/atom
Calculated volume   31.3 Å³ per atom
SG   C2/m

Structure (POSCAR):
```
PmNd2Tl3Se6
1.0
-1.9456 7.2129 -0.2786
-5.2102 -5.3082 -0.7519
1.2785 -0.6365 8.0184
Pm Nd Tl Se
1 2 3 6
Direct
0.0000 0.0000 0.0000 Pm
0.3334 0.6666 0.0000 Nd
0.6666 0.3334 0.0000 Nd
0.1669 0.8331 0.5000 Tl
0.8331 0.1669 0.5000 Tl
0.5000 0.5000 0.5000 Tl
0.9298 0.5983 0.7896 Se
0.7387 0.7387 0.2108 Se
0.0702 0.4017 0.2104 Se
0.5983 0.9298 0.7896 Se
0.2613 0.2613 0.7892 Se
0.4017 0.0702 0.2104 Se
```



[2]
Computed, not measured: AcCu2Ge2 after structural relaxation at the PBE level of DFT.

## Properties
Total energy   -4.794 eV/atom
DFT formation energy   -0.487 eV per atom
Relative energy among the computed polymorphs   0.017 eV per atom
Calculated volume   19.5 Å³ per atom
SG   P4/nmm

Structure (POSCAR):
```
AcCu2Ge2
1.0
-1.8120 0.1099 3.9746
1.9280 -3.7957 0.9839
8.1295 5.0537 3.5664
Ac Cu Ge
2 4 4
Direct
0.5000 0.0000 0.2465 Ac
0.0000 0.5000 0.7535 Ac
0.0000 0.5000 0.3733 Cu
0.5000 0.0000 0.6267 Cu
0.5000 0.5000 0.0000 Cu
0.0000 0.0000 0.0000 Cu
0.5000 0.5000 0.5000 Ge
0.0000 0.0000 0.5000 Ge
0.0000 0.5000 0.1269 Ge
0.5000 0.0000 0.8731 Ge
```



> Which value of calculated volume does entry 2 give?

19.5 Å³ per atom



> Which value of calculated volume does entry 1 give?

31.3 Å³ per atom



> The highest total energy belongs to which entry?

AcCu2Ge2